Below is a relaxed MnH2SeO5 crystal, with properties calculated at the GGA+U level.

a b c (Å): 7.1157 8.4598 8.0311
angles (deg): 90.00 115.42 90.00
Space group C2/c (No. 15)
One atom of each set of equivalent atoms:
Mn: 0.2500 0.2500 0.0000 (multiplicity 4)
H: 0.0868 0.0444 0.7097 (multiplicity 8)
Se: 0.0000 0.4181 0.2500 (multiplicity 4)
O: 0.0000 0.1141 0.7500 (multiplicity 4)
O: 0.0122 0.3067 0.0841 (multiplicity 8)
O: 0.2140 0.4662 0.8388 (multiplicity 8)

Total energy: -5.795 eV per atom